Entry 1:
A geometry-optimized Tb8Sb2Pt structure. Source: Alexandria via LeMat-Bulk, functional PBE-GGA.

The structure in POSCAR format:
```
Tb8Sb2Pt
1.0
9.409 -2.342 0.000
9.409 2.342 0.000
-1.033 0.000 7.238
Tb Sb Pt
8 2 1
direct
0.005 0.005 0.274
0.215 0.215 0.849
0.351 0.351 0.468
0.404 0.404 0.990
0.596 0.596 0.010
0.649 0.649 0.532
0.785 0.785 0.151
0.995 0.995 0.726
0.182 0.182 0.270
0.818 0.818 0.730
0.500 0.500 0.500
```

Results
E_form (uncorrected) ... -0.597 eV/atom
Symmetry ... C2/m, No. 12



Entry 2:
A geometry-optimized MgZnB2 structure. Source: Alexandria via LeMat-Bulk, functional PBE-GGA.

The structure in POSCAR format:
```
MgZnB2
1.0
0.000 2.840 2.840
2.840 0.000 2.840
2.840 2.840 0.000
Mg Zn B
1 1 2
direct
0.000 0.000 0.000
0.500 0.500 0.500
0.250 0.250 0.250
0.750 0.750 0.750
```

Results
Symmetry ... Fm-3m, No. 225
DFT formation energy ... 94.80 kJ per mole of atoms
Distance to the lowest polymorph of the same formula ... 308 meV per atom



Entry 3:
A geometry-optimized TbCeCo structure. Source: Alexandria via LeMat-Bulk, functional PBE-GGA.

The structure in POSCAR format:
```
TbCeCo
1.0
-1.687 1.687 6.162
1.687 -1.687 6.162
1.687 1.687 -6.162
Tb Ce Co
1 1 1
direct
0.000 0.000 0.000
0.260 0.260 0.000
0.642 0.642 0.000
```

Results
Symmetry ... I4mm, No. 107
DFT formation energy ... -4.54 kJ per mole of atoms
Distance to the lowest polymorph of the same formula ... 94 meV per atom



Entry 4:
A geometry-optimized SmSiH structure. Source: Alexandria via LeMat-Bulk, functional PBE-GGA.

The structure in POSCAR format:
```
SmSiH
1.0
10.894 0.000 0.000
0.000 4.135 0.000
0.000 0.000 4.257
Sm Si H
4 4 4
direct
0.142 0.250 0.001
0.358 0.750 0.501
0.642 0.250 0.499
0.858 0.750 0.999
0.075 0.750 0.490
0.425 0.250 0.990
0.575 0.750 0.010
0.925 0.250 0.510
0.061 0.750 0.890
0.439 0.250 0.390
0.561 0.750 0.610
0.939 0.250 0.110
```

Results
Symmetry ... Pnma, No. 62
Distance to the lowest polymorph of the same formula ... 300 meV per atom



Entry 5:
A geometry-optimized Lu2ZrGa structure. Source: Alexandria via LeMat-Bulk, functional PBE-GGA.

The structure in POSCAR format:
```
Lu2ZrGa
1.0
3.394 0.000 0.000
0.000 3.394 0.000
0.000 0.000 8.287
Lu Zr Ga
2 1 1
direct
0.000 0.000 0.228
0.000 0.000 0.772
0.500 0.500 0.500
0.500 0.500 0.000
```

Results
Symmetry ... P4/mmm, No. 123
DFT formation energy ... -27.27 kJ per mole of atoms
Distance to the lowest polymorph of the same formula ... 0 meV per atom



Entry 6:
A geometry-optimized GaTc3O structure. Source: Alexandria via LeMat-Bulk, functional PBE-GGA.

The structure in POSCAR format:
```
GaTc3O
1.0
4.069 0.000 0.000
0.000 4.069 0.000
0.000 0.000 4.069
Ga Tc O
1 3 1
direct
0.000 0.000 0.000
0.000 0.500 0.500
0.500 0.000 0.500
0.500 0.500 0.000
0.500 0.500 0.500
```

Results
E_form (uncorrected) ... 0.020 eV/atom
Symmetry ... Pm-3m, No. 221
Distance to the lowest polymorph of the same formula ... 0 meV per atom



Entry 7:
A geometry-optimized Pm2MgCu3Si4 structure. Source: Alexandria via LeMat-Bulk, functional PBE-GGA.

The structure in POSCAR format:
```
Pm2MgCu3Si4
1.0
4.082 0.000 0.000
0.000 4.082 0.000
0.000 0.000 10.471
Pm Mg Cu Si
2 1 3 4
direct
0.000 0.500 0.239
0.500 0.000 0.761
0.000 0.000 0.500
0.000 0.500 0.876
0.500 0.000 0.124
0.500 0.500 0.500
0.000 0.000 0.000
0.000 0.500 0.650
0.500 0.000 0.350
0.500 0.500 0.000
```

Results
E_form (uncorrected) ... -0.492 eV/atom
Symmetry ... P-4m2, No. 115



Entry 8:
A geometry-optimized Tm3Al8Cu3 structure. Source: Alexandria via LeMat-Bulk, functional PBE-GGA.

The structure in POSCAR format:
```
Tm3Al8Cu3
1.0
7.748 -2.131 0.000
7.748 2.131 0.000
-5.712 0.000 7.519
Tm Al Cu
3 8 3
direct
0.000 0.000 0.000
0.294 0.294 0.299
0.706 0.706 0.701
0.140 0.140 0.855
0.147 0.147 0.425
0.348 0.348 0.966
0.498 0.498 0.681
0.502 0.502 0.319
0.652 0.652 0.034
0.853 0.853 0.575
0.860 0.860 0.145
0.000 0.000 0.500
0.348 0.348 0.706
0.652 0.652 0.294
```

Results
Symmetry ... C2/m, No. 12
DFT formation energy ... -38.05 kJ per mole of atoms



Entry 9:
A geometry-optimized Ho4AlAu structure. Source: Alexandria via LeMat-Bulk, functional PBE-GGA.

The structure in POSCAR format:
```
Ho4AlAu
1.0
2.593 -10.679 0.000
2.593 10.679 0.000
0.000 0.000 6.305
Ho Al Au
8 2 2
direct
0.061 0.939 0.500
0.192 0.808 0.797
0.214 0.786 0.312
0.379 0.621 0.570
0.621 0.379 0.070
0.786 0.214 0.812
0.808 0.192 0.297
0.939 0.061 0.000
0.340 0.660 0.049
0.660 0.340 0.549
0.072 0.928 0.010
0.928 0.072 0.510
```

Results
Symmetry ... Cmc2_1, No. 36
DFT formation energy ... -23.32 kJ per mole of atoms



Entry 10:
A geometry-optimized ZrFeRu2 structure. Source: Alexandria via LeMat-Bulk, functional PBE-GGA.

The structure in POSCAR format:
```
ZrFeRu2
1.0
4.550 -1.522 0.000
4.550 1.522 0.000
-1.549 0.000 4.476
Zr Fe Ru
1 1 2
direct
0.000 0.000 0.000
0.500 0.500 0.500
0.231 0.231 0.713
0.769 0.769 0.287
```

Results
Symmetry ... C2/m, No. 12
DFT formation energy ... -0.29 kJ per mole of atoms



Entry 11:
A geometry-optimized Cs2TaPdSe4 structure. Source: Alexandria via LeMat-Bulk, functional PBE-GGA.

The structure in POSCAR format:
```
Cs2TaPdSe4
1.0
0.000 7.543 12.452
3.005 0.000 12.452
3.005 7.543 0.000
Cs Ta Pd Se
4 2 2 8
direct
0.052 0.052 0.698
0.302 0.302 0.948
0.698 0.698 0.052
0.948 0.948 0.302
0.375 0.375 0.375
0.625 0.625 0.625
0.125 0.125 0.125
0.875 0.875 0.875
0.010 0.348 0.434
0.292 0.566 0.652
0.348 0.010 0.708
0.434 0.708 0.010
0.566 0.292 0.990
0.652 0.990 0.292
0.708 0.434 0.348
0.990 0.652 0.566
```

Results
E_form (uncorrected) ... -0.947 eV/atom
Symmetry ... Fddd, No. 70



Entry 12:
A geometry-optimized Ba2Tl2Sn structure. Source: Alexandria via LeMat-Bulk, functional PBE-GGA.

The structure in POSCAR format:
```
Ba2Tl2Sn
1.0
8.310 0.000 0.000
0.000 8.310 0.000
0.000 0.000 5.431
Ba Tl Sn
4 4 2
direct
0.179 0.321 0.000
0.321 0.821 0.000
0.679 0.179 0.000
0.821 0.679 0.000
0.130 0.630 0.500
0.370 0.130 0.500
0.630 0.870 0.500
0.870 0.370 0.500
0.000 0.000 0.500
0.500 0.500 0.500
```

Results
Symmetry ... P4/mbm, No. 127
DFT formation energy ... -37.14 kJ per mole of atoms
Distance to the lowest polymorph of the same formula ... 78 meV per atom